Tm8MgNi2 | GGA-PBE | optimized geometry

## Properties
The calculation puts the formation energy at -0.10 eV/atom.

Cell: 5.3096 7.8293 7.8293 Å, 114.24 97.04 97.04°
With the nearest neighbours (Å) after each atom.
Sites, in units of the cell vectors:
Tm 0.0779 0.3319 0.0720  2 Ni 2.78-2.88
Tm 0.0779 0.0720 0.3319  2 Ni 2.78-2.88
Tm 0.7004 0.3909 0.3909  2 Ni 3.02, 4 Tm 3.12-3.31, 1 Mg 3.25
Tm 0.9221 0.6681 0.9280  2 Ni 2.78-2.88
Tm 0.5000 0.2532 0.7468  2 Ni 2.75
Ni 0.0000 0.3081 0.6919  8 Tm 2.75-3.02
Ni 0.0000 0.6919 0.3081  8 Tm 2.75-3.02
Mg 0.5000 0.0000 0.0000  12 Tm 3.25-3.59
Tm 0.2996 0.6091 0.6091  2 Ni 3.02, 4 Tm 3.12-3.31, 1 Mg 3.25
Tm 0.9221 0.9280 0.6681  2 Ni 2.78-2.88
Tm 0.5000 0.7468 0.2532  2 Ni 2.75